[1]
Below is a relaxed AlHgW crystal, with properties calculated at the PBE-GGA level.

The volume is 19.44 A^3/atom. The value obtained for the magnetization is 0.37 μB per atom. For the energy, the calculation gives -4.67 eV/atom. The crystal system is cubic. The value obtained for the energy above the most stable polymorph in this dataset is 0 meV per atom.

Cell lengths 6.156, 6.156, 6.156 Å; angles 90.00, 90.00, 90.00 degrees
Space group F-43m (No. 216)
Inequivalent atoms, fractional coordinates:
Al  0.000  0.000  0.000 (multiplicity 4)
Hg  0.250  0.250  0.750 (multiplicity 4)
W  0.250  0.250  0.250 (multiplicity 4)


[2]
Below is a relaxed ZrAgB4 crystal, with properties calculated at the PBE-GGA level.

The volume is 10.52 A^3/atom. The value obtained for the magnetization is 0.00 μB per atom. For the energy, the calculation gives -6.48 eV/atom. The crystal system is hexagonal. The value obtained for the energy above the most stable polymorph in this dataset is 28 meV per atom.

Cell lengths 3.1354, 3.1354, 7.4153 Å; angles 90.00, 90.00, 120.00 degrees
Space group P6/mmm (No. 191)
Inequivalent atoms, fractional coordinates:
Zr  0.0000  0.0000  0.0000 (multiplicity 1)
Ag  0.0000  0.0000  0.5000 (multiplicity 1)
B  0.3333  0.6667  0.2353 (multiplicity 4)


[3]
Below is a relaxed DyEr2Fe2Co7 crystal, with properties calculated at the PBE-GGA level.

The volume is 14.37 A^3/atom. The value obtained for the magnetization is 1.06 μB per atom. For the energy, the calculation gives -6.88 eV/atom. The crystal system is trigonal.

Cell lengths 5.0288, 5.0288, 23.6210 Å; angles 90.00, 90.00, 120.00 degrees
Space group R-3m (No. 166, hexagonal axes)
Inequivalent atoms, fractional coordinates:
Dy  0.0000  0.0000  0.0000 (multiplicity 3)
Er  0.0000  0.0000  0.1408 (multiplicity 6)
Fe  0.0000  0.0000  0.3341 (multiplicity 6)
Co  0.0000  0.0000  0.5000 (multiplicity 3)
Co  0.0027  0.5013  0.9176 (multiplicity 18)


[4]
Below is a relaxed Ta4NiAsC2 crystal, with properties calculated at the PBE-GGA level.

The volume is 13.88 A^3/atom. The value obtained for the magnetization is 0.00 μB per atom. For the energy, the calculation gives -9.95 eV/atom. The crystal system is hexagonal.

Cell lengths 3.1988, 3.1988, 12.5297 Å; angles 90.00, 90.00, 120.00 degrees
Space group P-6m2 (No. 187)
Inequivalent atoms, fractional coordinates:
Ta  0.0000  0.0000  0.1530 (multiplicity 2)
Ta  0.6667  0.3333  0.3454 (multiplicity 2)
Ni  0.0000  0.0000  0.5000 (multiplicity 1)
As  0.6667  0.3333  0.0000 (multiplicity 1)
C  0.3333  0.6667  0.2508 (multiplicity 2)


[5]
Below is a relaxed MgNpCu crystal, with properties calculated at the PBE-GGA level.

The volume is 23.41 A^3/atom. The value obtained for the magnetization is 1.58 μB per atom. For the energy, the calculation gives -5.46 eV/atom. The crystal system is cubic.

Cell lengths 6.549, 6.549, 6.549 Å; angles 90.00, 90.00, 90.00 degrees
Space group F-43m (No. 216)
Inequivalent atoms, fractional coordinates:
Mg  0.000  0.000  0.000 (multiplicity 4)
Np  0.000  0.000  0.500 (multiplicity 4)
Cu  0.250  0.250  0.250 (multiplicity 4)


[6]
Below is a relaxed LuMgSc crystal, with properties calculated at the PBE-GGA level.

The volume is 29.49 A^3/atom. The value obtained for the magnetization is 0.06 μB per atom. For the energy, the calculation gives -3.63 eV/atom. The crystal system is cubic. The value obtained for the energy above the most stable polymorph in this dataset is 0 meV per atom.

Cell lengths 7.073, 7.073, 7.073 Å; angles 90.00, 90.00, 90.00 degrees
Space group F-43m (No. 216)
Inequivalent atoms, fractional coordinates:
Lu  0.000  0.000  0.000 (multiplicity 4)
Mg  0.250  0.250  0.250 (multiplicity 4)
Sc  0.000  0.000  0.500 (multiplicity 4)


What is the formula in the fourth record?
Ta4NiAsC2


Look up the magnetization of the sixth one.
0.06 μB per atom


Which of these has the lowest energy?
Ta4NiAsC2


Which formula does entry 5 have?
MgNpCu